Record 1
Ag3IrF8 | PBE-GGA | relaxed

The calculation puts the formation energy from raw total energies at -1.262 eV per atom. The calculation puts the volume at 18.6 Å³/atom. For the total energy, the calculation gives -3.96 eV per atom.

a = 6.2567 Å, b = 6.2567 Å, c = 7.1156 Å
α = 90.00°, β = 90.00°, γ = 126.74°
Element x y z (fractional)
F1 0.7408 0.7309 0.2990
F2 0.3230 0.6770 0.5000
F3 0.3082 0.6918 0.0000
Ag1 0.0000 0.5000 0.2388
Ag2 0.5000 0.0000 0.7612
F4 0.6770 0.3230 0.5000
F5 0.6918 0.3082 0.0000
Ag3 0.5000 0.5000 0.0000
F6 0.7309 0.7408 0.7010
F7 0.2592 0.2691 0.2990
F8 0.2691 0.2592 0.7010
Ir1 0.5000 0.5000 0.5000

Record 2
Ag2IrF2 | PBE-GGA | relaxed

The calculation puts the formation energy from raw total energies at -0.034 eV per atom. The value obtained for the polymorph energy (0 for the lowest one) is 19.6 meV/atom. The calculation puts the volume at 14.5 Å³/atom. For the total energy, the calculation gives -3.70 eV per atom.

a = 7.4142 Å, b = 7.4142 Å, c = 2.6339 Å
α = 90.00°, β = 90.00°, γ = 90.00°
Element x y z (fractional)
Ag1 0.8410 0.6590 0.0000
Ir1 0.0000 0.0000 0.0000
F1 0.1317 0.6317 0.5000
F2 0.3683 0.1317 0.5000
F3 0.8683 0.3683 0.5000
Ag2 0.1590 0.3410 0.0000
Ag3 0.6590 0.1590 0.0000
Ir2 0.5000 0.5000 0.0000
Ag4 0.3410 0.8410 0.0000
F4 0.6317 0.8683 0.5000

Record 3
Ag3IrF6 | PBE-GGA | relaxed

The calculation puts the formation energy from raw total energies at -1.135 eV per atom. The value obtained for the polymorph energy (0 for the lowest one) is 0.0 meV/atom. The calculation puts the volume at 15.4 Å³/atom. For the total energy, the calculation gives -4.00 eV per atom.

a = 6.0995 Å, b = 5.9589 Å, c = 8.4595 Å
α = 90.00°, β = 92.89°, γ = 90.00°
Element x y z (fractional)
F1 0.1381 0.0431 0.2223
Ir1 0.5000 0.5000 0.5000
Ag1 0.5000 0.5000 0.0000
F2 0.7708 0.6725 0.4366
F3 0.6643 0.2274 0.4215
Ag2 0.0232 0.5716 0.7356
Ir2 0.0000 0.0000 0.0000
F4 0.1643 0.2726 0.9215
Ag3 0.9768 0.4284 0.2644
F5 0.2708 0.8275 0.9366
F6 0.8619 0.9569 0.7777
F7 0.3619 0.5431 0.2777
F8 0.6381 0.4569 0.7223
F9 0.2292 0.3275 0.5634
Ag4 0.0000 0.0000 0.5000
Ag5 0.4768 0.0716 0.7644
F10 0.8357 0.7274 0.0785
F11 0.3357 0.7726 0.5785
F12 0.7292 0.1725 0.0634
Ag6 0.5232 0.9284 0.2356

Record 4
AgIrF3 | PBE-GGA | relaxed

The calculation puts the formation energy from raw total energies at -0.591 eV per atom. The value obtained for the polymorph energy (0 for the lowest one) is 0.0 meV/atom. The calculation puts the volume at 15.2 Å³/atom. For the total energy, the calculation gives -4.06 eV per atom.

a = 4.2391 Å, b = 4.2391 Å, c = 4.2391 Å
α = 90.00°, β = 90.00°, γ = 90.00°
Element x y z (fractional)
F1 0.0000 0.5000 0.0000
F2 0.0000 0.0000 0.5000
F3 0.5000 0.0000 0.0000
Ag1 0.5000 0.5000 0.5000
Ir1 0.0000 0.0000 0.0000

Record 5
AgIrF3 | PBE-GGA | relaxed

The calculation puts the formation energy from raw total energies at 0.139 eV per atom. The value obtained for the polymorph energy (0 for the lowest one) is 729.8 meV/atom. The calculation puts the volume at 16.4 Å³/atom. For the total energy, the calculation gives -3.33 eV per atom.

a = 4.3437 Å, b = 4.3437 Å, c = 4.3437 Å
α = 90.00°, β = 90.00°, γ = 90.00°
Element x y z (fractional)
Ir1 0.5000 0.5000 0.5000
Ag1 0.0000 0.0000 0.0000
F1 0.5000 0.0000 0.0000
F2 0.0000 0.5000 0.0000
F3 0.0000 0.0000 0.5000

Record 6
Ag2IrF6 | PBE-GGA | relaxed

The calculation puts the formation energy from raw total energies at -1.309 eV per atom. The calculation puts the volume at 16.5 Å³/atom. For the total energy, the calculation gives -4.17 eV per atom.

a = 5.2595 Å, b = 5.2595 Å, c = 10.7540 Å
α = 90.00°, β = 90.00°, γ = 90.00°
Element x y z (fractional)
F1 0.3234 0.3234 0.1388
F2 0.1766 0.8234 0.6388
F3 0.8234 0.1766 0.3612
F4 0.7358 0.7358 0.5000
F5 0.8234 0.1766 0.6388
F6 0.7642 0.2358 0.0000
Ag1 0.5000 0.5000 0.3372
F7 0.6766 0.6766 0.8612
F8 0.2358 0.7642 0.0000
F9 0.2642 0.2642 0.5000
Ir1 0.5000 0.5000 0.0000
Ag2 0.0000 0.0000 0.8372
F10 0.6766 0.6766 0.1388
F11 0.1766 0.8234 0.3612
F12 0.3234 0.3234 0.8612
Ag3 0.0000 0.0000 0.1628
Ir2 0.0000 0.0000 0.5000
Ag4 0.5000 0.5000 0.6629